First-principles (PBE) data for a relaxed Li2GeBiPd crystal, as listed in the Alexandria database.

extended XYZ file:
```
5
Lattice="5.019 0.000 0.000 0.000 5.019 0.000 0.000 0.000 5.148" Properties=species:S:1:pos:R:3 pbc="T T T"
Li 0.000 2.510 0.000
Li 2.510 0.000 0.000
Ge 0.000 0.000 2.574
Bi 2.510 2.510 0.000
Pd 2.510 2.510 2.574
```

V: 129.70 Å³ per cell
E_form: 0.36 eV/atom
M_tot: 0.000 μB per formula unit